Computed, not measured: a relaxed SrIn4Ga crystal at the GGA-PBE level of DFT.

- Total DFT energy (no corrections): -2.8262 eV per atom
- Relative energy among the computed polymorphs: 0 meV/atom
- Space group: Cmcm (63)
- Calculated density: 6.19 g/cm3
- Crystal system: orthorhombic

Cell: 9.5473 9.5473 7.7969 Å, 90.00 90.00 152.24°
Last column: nearest neighbours and their distance in Å.
Positions (direct):
Sr 0.1177 0.8823 0.7500  9 In 3.45-3.72, 2 Ga 3.59
Sr 0.8823 0.1177 0.2500  9 In 3.45-3.72, 2 Ga 3.59
In 0.0699 0.9301 0.2500  1 Ga 3.03, 8 In 3.27-3.38
In 0.3252 0.6748 0.5520  3 Ga 2.91-2.97, 1 In 3.09
In 0.3252 0.6748 0.9480  3 Ga 2.91-2.97, 1 In 3.09
In 0.5000 0.5000 0.0000  6 In 3.27
In 0.5000 0.5000 0.5000  6 In 3.27
In 0.6748 0.3252 0.0520  3 Ga 2.91-2.97, 1 In 3.09
In 0.6748 0.3252 0.4480  3 Ga 2.91-2.97, 1 In 3.09
In 0.9301 0.0699 0.7500  1 Ga 3.03, 8 In 3.27-3.38
Ga 0.2331 0.7669 0.2500  7 In 2.91-3.03
Ga 0.7669 0.2331 0.7500  7 In 2.91-3.03